No. 1
# ErAlHg, relaxed, DFT PBE
data_ErAlHg
_chemical_formula_sum 'Er1 Al1 Hg1'
_space_group_name_H-M_alt 'P -6 m 2'
_space_group_IT_number 187
_space_group_name_Hall 'P -6 2'
_cell_length_a 4.6351
_cell_length_b 4.6351
_cell_length_c 3.5624
_cell_angle_alpha 90.00
_cell_angle_beta 90.00
_cell_angle_gamma 120.00
loop_
_atom_site_label
_atom_site_fract_x
_atom_site_fract_y
_atom_site_fract_z
_atom_site_occupancy
Er1 0.0000 0.0000 0.0000 1
Al1 0.3333 0.6667 0.5000 1
Hg1 0.6667 0.3333 0.5000 1
# ΔH_f (0 K) = -1.3 eV per formula unit
# Energy above the lowest structure with this stoichiometry = 0.000 eV per atom

---

No. 2
# Pr2TaSi4Ir3, relaxed, DFT PBE
data_Pr2TaSi4Ir3
_chemical_formula_sum 'Pr2 Ta1 Si4 Ir3'
_space_group_name_H-M_alt 'P -4 m 2'
_space_group_IT_number 115
_space_group_name_Hall 'P -4 -2'
_cell_length_a 4.176
_cell_length_b 4.176
_cell_length_c 10.455
_cell_angle_alpha 90.00
_cell_angle_beta 90.00
_cell_angle_gamma 90.00
loop_
_atom_site_label
_atom_site_fract_x
_atom_site_fract_y
_atom_site_fract_z
_atom_site_occupancy
Pr1 0.000 0.500 0.239 1
Ta1 0.000 0.000 0.500 1
Si1 0.000 0.000 0.000 1
Si2 0.000 0.500 0.647 1
Si3 0.500 0.500 0.000 1
Ir1 0.000 0.500 0.881 1
Ir2 0.500 0.500 0.500 1
# Formation energy from raw total energies = -853 meV per atom